Below is a relaxed TiSO4 crystal, with properties calculated at the GGA-PBE level.

```
TiSO4
1.0
5.5246 0.0000 0.0000
0.0000 5.6607 0.0000
0.0000 0.0000 5.7627
Ti S O
2 2 8
Direct
0.0000 0.0000 0.0000 Ti
0.5000 0.5000 0.0000 Ti
0.0000 0.0000 0.5000 S
0.0000 0.5000 0.0000 S
0.1514 0.1413 0.6637 O
0.1514 0.8587 0.3363 O
0.2522 0.2719 0.0542 O
0.2522 0.7281 0.9458 O
0.7478 0.2719 0.9458 O
0.7478 0.7281 0.0542 O
0.8486 0.1413 0.3363 O
0.8486 0.8587 0.6637 O
```

Results
**Uncorrected formation energy**: -147.2 kJ per mole of atoms
**Calculated volume**: 180.2 Å³ per cell
**Density of states at the Fermi level**: 5.29 states/eV per cell

=====

Below is a relaxed Ti6SO crystal, with properties calculated at the GGA-PBE level.

```
Ti6SO
1.0
5.3050 0.0000 0.0000
2.6503 4.6001 0.0000
2.6519 1.5260 5.0638
Ti S O
6 1 1
Direct
0.0583 0.2572 0.2736 Ti
0.2431 0.0902 0.7258 Ti
0.4101 0.5594 0.2732 Ti
0.5899 0.4406 0.7268 Ti
0.7569 0.9098 0.2742 Ti
0.9417 0.7428 0.7264 Ti
0.5000 0.0000 0.0000 S
0.0000 0.5000 0.5000 O
```

Results
**Uncorrected formation energy**: -94.4 kJ per mole of atoms
**Calculated volume**: 123.6 Å³ per cell
**Density of states at the Fermi level**: 6.23 states/eV per cell

=====

Below is a relaxed TiSO crystal, with properties calculated at the GGA-PBE level.

```
TiSO
1.0
5.5478 0.0000 0.0000
0.0000 3.2261 0.0000
-1.2614 0.0000 6.3820
Ti S O
2 2 2
Direct
0.2361 0.2500 0.0142 Ti
0.7639 0.7500 0.9858 Ti
0.3676 0.7500 0.7680 S
0.6324 0.2500 0.2320 S
0.1265 0.7500 0.1352 O
0.8735 0.2500 0.8648 O
```

Results
**Uncorrected formation energy**: -201.5 kJ per mole of atoms
**Calculated volume**: 114.2 Å³ per cell

=====

Below is a relaxed TiSO crystal, with properties calculated at the GGA-PBE level.

```
TiSO
1.0
4.8647 0.0000 0.0000
0.0000 3.1873 0.0000
-2.3493 0.0000 7.3235
Ti S O
2 2 2
Direct
0.1683 0.2500 0.3314 Ti
0.8317 0.7500 0.6686 Ti
0.3011 0.7500 0.6058 S
0.6989 0.2500 0.3942 S
0.1070 0.7500 0.2030 O
0.8930 0.2500 0.7970 O
```

Results
**Uncorrected formation energy**: -193.7 kJ per mole of atoms
**Calculated volume**: 113.6 Å³ per cell
**Density of states at the Fermi level**: 0.91 states/eV per cell

=====

Below is a relaxed Ti2SO crystal, with properties calculated at the GGA-PBE level.

```
Ti2SO
1.0
0.0000 2.8853 2.8853
2.8853 0.0000 2.8853
2.8853 2.8853 0.0000
Ti S O
2 1 1
Direct
0.2500 0.2500 0.2500 Ti
0.7500 0.7500 0.7500 Ti
0.0000 0.0000 0.0000 S
0.5000 0.5000 0.5000 O
```

Results
**Uncorrected formation energy**: -131.2 kJ per mole of atoms
**ΔE to the lowest computed polymorph**: 0.397 eV per atom
**Calculated volume**: 48.0 Å³ per cell
**Density of states at the Fermi level**: 0.64 states/eV per cell

=====

Below is a relaxed Ti3SO crystal, with properties calculated at the GGA-PBE level.

```
Ti3SO
1.0
4.0527 0.0000 0.0000
0.0000 4.0527 0.0000
0.0000 0.0000 4.0527
Ti S O
3 1 1
Direct
0.0000 0.0000 0.5000 Ti
0.0000 0.5000 0.0000 Ti
0.5000 0.0000 0.0000 Ti
0.5000 0.5000 0.5000 S
0.0000 0.0000 0.0000 O
```

Results
**Uncorrected formation energy**: -101.6 kJ per mole of atoms
**ΔE to the lowest computed polymorph**: 0.000 eV per atom
**Calculated volume**: 66.6 Å³ per cell
**Density of states at the Fermi level**: 3.95 states/eV per cell

=====

Below is a relaxed Ti4SO2 crystal, with properties calculated at the GGA-PBE level.

```
Ti4SO2
1.0
-2.2183 2.2183 5.4151
2.2183 -2.2183 5.4151
2.2183 2.2183 -5.4151
Ti S O
4 1 2
Direct
0.0000 0.5000 0.5000 Ti
0.2358 0.2358 0.0000 Ti
0.5000 0.0000 0.5000 Ti
0.7642 0.7642 0.0000 Ti
0.0000 0.0000 0.0000 S
0.3998 0.3998 0.0000 O
0.6002 0.6002 0.0000 O
```

Results
**Uncorrected formation energy**: -102.7 kJ per mole of atoms
**Calculated volume**: 106.6 Å³ per cell
**Density of states at the Fermi level**: 6.54 states/eV per cell

=====

Below is a relaxed Ti2SO crystal, with properties calculated at the GGA-PBE level.

```
Ti2SO
1.0
3.3613 0.0000 0.0000
-1.6807 2.9110 0.0000
0.0000 0.0000 6.2085
Ti S O
2 1 1
Direct
0.0000 0.0000 0.0000 Ti
0.3333 0.6667 0.3645 Ti
0.0000 0.0000 0.6010 S
0.3333 0.6667 0.0249 O
```

Results
**Uncorrected formation energy**: -169.5 kJ per mole of atoms
**ΔE to the lowest computed polymorph**: 0.000 eV per atom
**Calculated volume**: 60.7 Å³ per cell
**Density of states at the Fermi level**: 2.65 states/eV per cell

=====

Below is a relaxed Ti4S5O crystal, with properties calculated at the GGA-PBE level.

```
Ti4S5O
1.0
7.3888 -1.6686 0.0000
7.3888 1.6686 0.0000
-1.4498 0.0000 6.5832
Ti S O
4 5 1
Direct
0.0015 0.0015 0.2749 Ti
0.3548 0.3548 0.4263 Ti
0.6452 0.6452 0.5737 Ti
0.9985 0.9985 0.7251 Ti
0.1628 0.1628 0.8318 S
0.1705 0.1705 0.3298 S
0.5000 0.5000 0.0000 S
0.8295 0.8295 0.6702 S
0.8372 0.8372 0.1682 S
0.5000 0.5000 0.5000 O
```

Results
**Uncorrected formation energy**: -144.0 kJ per mole of atoms
**Calculated volume**: 162.3 Å³ per cell
**Density of states at the Fermi level**: 4.42 states/eV per cell

=====

Below is a relaxed Ti2SO crystal, with properties calculated at the GGA-PBE level.

```
Ti2SO
1.0
-2.4721 2.4721 5.1329
2.4721 -2.4721 5.1329
2.4721 2.4721 -5.1329
Ti S O
4 2 2
Direct
0.0570 0.6250 0.9320 Ti
0.3750 0.3070 0.4320 Ti
0.6930 0.1250 0.0680 Ti
0.8750 0.9430 0.5680 Ti
0.2500 0.7500 0.5000 S
0.5000 0.5000 0.0000 S
0.0000 0.0000 0.0000 O
0.7500 0.2500 0.5000 O
```

Results
**Uncorrected formation energy**: -154.6 kJ per mole of atoms
**ΔE to the lowest computed polymorph**: 0.155 eV per atom
**Calculated volume**: 125.5 Å³ per cell
**Density of states at the Fermi level**: 10.31 states/eV per cell

=====

Below is a relaxed Ti3S5O crystal, with properties calculated at the GGA-PBE level.

```
Ti3S5O
1.0
5.2545 -4.1655 0.0000
5.2545 4.1655 0.0000
-3.8572 0.0000 7.6149
Ti S O
6 10 2
Direct
0.0000 0.0000 0.0000 Ti
0.0000 0.0000 0.5000 Ti
0.2909 0.2909 0.3317 Ti
0.3399 0.3399 0.8196 Ti
0.6601 0.6601 0.1804 Ti
0.7091 0.7091 0.6683 Ti
0.0338 0.6333 0.3446 S
0.2344 0.2344 0.0334 S
0.2996 0.7004 0.0000 S
0.3667 0.9662 0.6554 S
0.4496 0.4496 0.6340 S
0.5504 0.5504 0.3660 S
0.6333 0.0338 0.3446 S
0.7004 0.2996 0.0000 S
0.7656 0.7656 0.9666 S
0.9662 0.3667 0.6554 S
0.0977 0.0977 0.2639 O
0.9023 0.9023 0.7361 O
```

Results
**Uncorrected formation energy**: -132.5 kJ per mole of atoms
**Calculated volume**: 333.3 Å³ per cell
**Density of states at the Fermi level**: 1.50 states/eV per cell

=====

Below is a relaxed TiSO crystal, with properties calculated at the GGA-PBE level.

```
TiSO
1.0
3.1815 0.0000 0.0000
-1.5907 2.7553 0.0000
0.0000 0.0000 11.9236
Ti S O
2 2 2
Direct
0.3333 0.6667 0.0000 Ti
0.6667 0.3333 0.5000 Ti
0.0000 0.0000 0.3664 S
0.0000 0.0000 0.8664 S
0.3333 0.6667 0.5654 O
0.6667 0.3333 0.0654 O
```

Results
**Uncorrected formation energy**: -199.0 kJ per mole of atoms
**Calculated volume**: 104.5 Å³ per cell

=====

Below is a relaxed Ti3S4O2 crystal, with properties calculated at the GGA-PBE level.

```
Ti3S4O2
1.0
3.1618 0.0000 0.0000
-1.5809 2.7382 0.0000
0.0000 0.0000 19.2014
Ti S O
3 4 2
Direct
0.0000 0.0000 0.0000 Ti
0.0000 0.0000 0.3320 Ti
0.6667 0.3333 0.6894 Ti
0.0000 0.0000 0.6082 S
0.0000 0.0000 0.7702 S
0.6667 0.3333 0.2512 S
0.6667 0.3333 0.4132 S
0.6667 0.3333 0.0576 O
0.6667 0.3333 0.9421 O
```

Results
**Uncorrected formation energy**: -138.1 kJ per mole of atoms
**Calculated volume**: 166.2 Å³ per cell
**Density of states at the Fermi level**: 2.42 states/eV per cell

=====

Below is a relaxed Ti4S3O crystal, with properties calculated at the GGA-PBE level.

```
Ti4S3O
1.0
6.7024 0.0000 0.0000
0.0000 6.2013 0.0000
0.0000 0.0000 6.3558
Ti S O
8 6 2
Direct
0.0000 0.1527 0.0000 Ti
0.0000 0.8343 0.3541 Ti
0.2500 0.2379 0.3773 Ti
0.2500 0.7621 0.8773 Ti
0.5000 0.1657 0.8541 Ti
0.5000 0.8473 0.5000 Ti
0.7500 0.2379 0.3773 Ti
0.7500 0.7621 0.8773 Ti
0.0000 0.1080 0.6206 S
0.2381 0.5954 0.5363 S
0.2619 0.4046 0.0363 S
0.5000 0.8920 0.1206 S
0.7381 0.4046 0.0363 S
0.7619 0.5954 0.5363 S
0.0000 0.8300 0.0416 O
0.5000 0.1700 0.5416 O
```

Results
**Uncorrected formation energy**: -133.1 kJ per mole of atoms
**Calculated volume**: 264.2 Å³ per cell
**Density of states at the Fermi level**: 14.31 states/eV per cell

=====

Below is a relaxed TiSO2 crystal, with properties calculated at the GGA-PBE level.

```
TiSO2
1.0
1.6965 0.9795 5.4889
-1.6965 0.9795 5.4889
0.0000 -1.9589 5.4889
Ti S O
1 1 2
Direct
0.0000 0.0000 0.0000 Ti
0.5000 0.5000 0.5000 S
0.1160 0.1160 0.1160 O
0.8840 0.8840 0.8840 O
```

Results
**Uncorrected formation energy**: -10.0 kJ per mole of atoms
**Calculated volume**: 54.7 Å³ per cell
**Density of states at the Fermi level**: 2.32 states/eV per cell

=====

Below is a relaxed Ti6S2O crystal, with properties calculated at the GGA-PBE level.

```
Ti6S2O
1.0
5.0577 -1.6196 0.0000
5.0577 1.6196 0.0000
-0.2464 0.0000 7.5296
Ti S O
6 2 1
Direct
0.0550 0.0550 0.2353 Ti
0.3558 0.3558 0.0643 Ti
0.3617 0.3617 0.4481 Ti
0.6383 0.6383 0.5519 Ti
0.6442 0.6442 0.9357 Ti
0.9450 0.9450 0.7647 Ti
0.2581 0.2581 0.7491 S
0.7419 0.7419 0.2509 S
0.0000 0.0000 0.5000 O
```

Results
**Uncorrected formation energy**: -123.8 kJ per mole of atoms
**Calculated volume**: 123.4 Å³ per cell
**Density of states at the Fermi level**: 5.08 states/eV per cell

=====

Below is a relaxed UTiS2O crystal, with properties calculated at the GGA-PBE level.

```
UTiS2O
1.0
3.6122 0.0000 0.0000
0.0000 3.6122 0.0000
0.0000 0.0000 12.7203
U Ti S O
2 2 4 2
Direct
0.2500 0.2500 0.1117 U
0.7500 0.7500 0.8883 U
0.2500 0.2500 0.5840 Ti
0.7500 0.7500 0.4160 Ti
0.2500 0.2500 0.3926 S
0.2500 0.2500 0.7874 S
0.7500 0.7500 0.2126 S
0.7500 0.7500 0.6074 S
0.2500 0.7500 0.0000 O
0.7500 0.2500 0.0000 O
```

Results
**Uncorrected formation energy**: -185.7 kJ per mole of atoms
**Calculated volume**: 166.0 Å³ per cell
**Density of states at the Fermi level**: 13.50 states/eV per cell

=====

Below is a relaxed Zr2TiSO crystal, with properties calculated at the GGA-PBE level.

```
Zr2TiSO
1.0
4.5597 0.0000 0.0000
0.0000 4.5597 0.0000
0.0000 0.0000 3.8332
Zr Ti S O
2 1 1 1
Direct
0.0000 0.5000 0.0000 Zr
0.5000 0.0000 0.0000 Zr
0.0000 0.0000 0.5000 Ti
0.5000 0.5000 0.5000 S
0.0000 0.0000 0.0000 O
```

Results
**Uncorrected formation energy**: -104.5 kJ per mole of atoms
**Calculated volume**: 79.7 Å³ per cell
**Density of states at the Fermi level**: 4.26 states/eV per cell

=====

Below is a relaxed ZrTiS2O crystal, with properties calculated at the GGA-PBE level.

```
ZrTiS2O
1.0
4.8164 0.0000 0.0000
0.0000 4.8164 0.0000
0.0000 0.0000 3.6238
Zr Ti S O
1 1 2 1
Direct
0.0000 0.0000 0.0000 Zr
0.5000 0.5000 0.5000 Ti
0.0000 0.5000 0.5000 S
0.5000 0.0000 0.5000 S
0.5000 0.5000 0.0000 O
```

Results
**Uncorrected formation energy**: -135.5 kJ per mole of atoms
**Calculated volume**: 84.1 Å³ per cell
**Density of states at the Fermi level**: 2.91 states/eV per cell

=====

Below is a relaxed ZrTi2SO crystal, with properties calculated at the GGA-PBE level.

```
ZrTi2SO
1.0
3.9779 0.0000 0.0000
0.0000 3.9779 0.0000
0.0000 0.0000 4.6718
Zr Ti S O
1 2 1 1
Direct
0.0000 0.0000 0.0000 Zr
0.0000 0.5000 0.5000 Ti
0.5000 0.0000 0.5000 Ti
0.5000 0.5000 0.0000 S
0.0000 0.0000 0.5000 O
```

Results
**Uncorrected formation energy**: -104.1 kJ per mole of atoms
**Calculated volume**: 73.9 Å³ per cell
**Density of states at the Fermi level**: 5.06 states/eV per cell

=====

Below is a relaxed Tm4SO5 crystal, with properties calculated at the GGA-PBE level.

```
Tm4SO5
1.0
6.9979 0.0000 0.0000
0.0000 8.7220 0.0000
0.0000 0.0000 5.4857
Tm S O
8 2 10
Direct
0.0087 0.2500 0.0165 Tm
0.2500 0.0233 0.5284 Tm
0.2500 0.4767 0.5284 Tm
0.4913 0.2500 0.0165 Tm
0.5087 0.7500 0.9835 Tm
0.7500 0.5233 0.4716 Tm
0.7500 0.9767 0.4716 Tm
0.9913 0.7500 0.9835 Tm
0.2500 0.7500 0.3078 S
0.7500 0.2500 0.6922 S
0.0050 0.0695 0.2677 O
0.0050 0.4305 0.2677 O
0.2500 0.2500 0.7678 O
0.4950 0.0695 0.2677 O
0.4950 0.4305 0.2677 O
0.5050 0.5695 0.7323 O
0.5050 0.9305 0.7323 O
0.7500 0.7500 0.2322 O
0.9950 0.5695 0.7323 O
0.9950 0.9305 0.7323 O
```

Results
**Uncorrected formation energy**: -304.6 kJ per mole of atoms
**Calculated volume**: 334.8 Å³ per cell
**Density of states at the Fermi level**: 0.00 states/eV per cell

=====

Below is a relaxed Tm2S2O crystal, with properties calculated at the GGA-PBE level.

```
Tm2S2O
1.0
6.0407 -2.6997 0.0000
6.0407 2.6997 0.0000
-3.7406 0.0000 6.6551
Tm S O
4 4 2
Direct
0.0293 0.0293 0.3129 Tm
0.3109 0.3109 0.8857 Tm
0.6891 0.6891 0.1143 Tm
0.9707 0.9707 0.6871 Tm
0.1734 0.1734 0.0912 S
0.4639 0.4639 0.7319 S
0.5361 0.5361 0.2681 S
0.8266 0.8266 0.9088 S
0.1280 0.1280 0.6322 O
0.8720 0.8720 0.3678 O
```

Results
**Uncorrected formation energy**: -250.9 kJ per mole of atoms
**ΔE to the lowest computed polymorph**: 0.042 eV per atom
**Calculated volume**: 217.1 Å³ per cell
**Density of states at the Fermi level**: 0.00 states/eV per cell

=====

Below is a relaxed Tm4S5O crystal, with properties calculated at the GGA-PBE level.

```
Tm4S5O
1.0
-1.8283 3.5344 8.3527
1.8283 -3.5344 8.3527
1.8283 3.5344 -8.3527
Tm S O
4 5 1
Direct
0.2186 0.2186 0.0000 Tm
0.2262 0.5000 0.7262 Tm
0.7738 0.5000 0.2738 Tm
0.7814 0.7814 0.0000 Tm
0.0814 0.3392 0.7422 S
0.4030 0.6608 0.7422 S
0.5000 0.0000 0.5000 S
0.5970 0.3392 0.2578 S
0.9186 0.6608 0.2578 S
0.0000 0.0000 0.0000 O
```

Results
**Uncorrected formation energy**: -209.6 kJ per mole of atoms
**Calculated volume**: 215.9 Å³ per cell